! Rb3Pu2HfSe6 | Alexandria via LeMat-Bulk | PBE | optimized geometry; values from VASP
&SYSTEM
  ibrav = 0, nat = 12, ntyp = 4
/
ATOMIC_SPECIES
Se 78.96 Se.upf
Pu 244.00 Pu.upf
Hf 178.49 Hf.upf
Rb 85.47 Rb.upf
ATOMIC_POSITIONS crystal
Se 0.0643 0.3760 0.1929
Se 0.3760 0.0643 0.1929
Se 0.6240 0.9357 0.8071
Se 0.7538 0.7538 0.1941
Se 0.9357 0.6240 0.8071
Se 0.2462 0.2462 0.8059
Pu 0.6663 0.3337 0.0000
Pu 0.3337 0.6663 0.0000
Hf 0.0000 0.0000 0.0000
Rb 0.8293 0.1707 0.5000
Rb 0.1707 0.8293 0.5000
Rb 0.5000 0.5000 0.5000
CELL_PARAMETERS angstrom
-0.5917 -3.8990 6.1368
5.7560 -0.9451 -4.3804
2.2311 7.2822 3.3918
! total moment = 11.00 μB/f.u.
! volume = 30.6 Å³ per atom
! E_form (uncorrected) = -1.40 eV/atom